# AcHo2Tl2Zn2

A relaxed structure of AcHo2Tl2Zn2 (PBE, the Alexandria database).

Summary:
* V: 191 Å³/f.u.
* magnetization: 0.00 μB/f.u.
* electronic total energy: -3.1315 eV per atom

a = 4.8911 Å, b = 4.8911 Å, c = 27.7009 Å
α = 90.00°, β = 90.00°, γ = 120.00°
Space group R-3m (No. 166, hexagonal axes)
One atom of each set of equivalent atoms:
Ac 0.0000 0.0000 0.0000 (multiplicity 3)
Ho 0.0000 0.0000 0.1353 (multiplicity 6)
Tl 0.0000 0.0000 0.2588 (multiplicity 6)
Zn 0.0000 0.0000 0.4433 (multiplicity 6)